Computed, not measured: a crystal of Ba2BeCd relaxed with PBEsol at the meta-GGA SCAN level of DFT.

abc: 3.6742 3.6742 9.5216
angles: 90.00 90.00 90.00
Fractional positions:
Be (0.0000, 0.0000, 0.4343)
Ba (0.0000, 0.0000, 0.0719)
Ba (0.5000, 0.5000, 0.6706)
Cd (0.5000, 0.5000, 0.3232)

Calculated values
Total magnetization, μB per atom: 0.002
ΔE to the lowest computed polymorph, meV/atom: 0
Energy of formation from the pure elements, meV/atom: 257